Ag2SnGeCl: optimized geometry, PBE.

Output
crystal system	tetragonal
energy above the lowest structure with this stoichiometry	0.386	eV/atom
mass density	5.74	g/cm3
calculated volume	25.61	Å³ per atom
formation energy (no corrections)	0.534	eV per atom

abc: 4.9781 4.9781 5.1667
angles: 90.00 90.00 90.00
Closest atoms and distances in Å follow each position.
Atoms (fractional coordinates):
Ag: 0.0000 0.5000 0.0000  2 Cl 2.49
Ag: 0.5000 0.0000 0.0000  2 Cl 2.49
Sn: 0.0000 0.0000 0.5000  4 Ge 3.52, 8 Ag 3.59
Ge: 0.5000 0.5000 0.5000  2 Cl 2.58
Cl: 0.5000 0.5000 0.0000  4 Ag 2.49, 2 Ge 2.58